Computed, not measured: a geometry-optimized Tb2TmTh structure at the PBE level of DFT.

Properties
Distance to the lowest polymorph of the same formula, eV per atom: 0.0057
E_form, eV/f.u.: 0.14

Unit cell a=3.5594 b=3.5594 c=34.6021 alpha=90.00 beta=90.00 gamma=120.00
Space group R3m (No. 160, hexagonal axes)
One atom of each set of equivalent atoms:
Tb (0.0000, 0.0000, 0.0000) [3 per cell]
Tb (0.0000, 0.0000, 0.1686) [3 per cell]
Tm (0.0000, 0.0000, 0.5843) [3 per cell]
Th (0.0000, 0.0000, 0.7500) [3 per cell]